No. 1
Density functional theory data (PBE-GGA) for a geometry-optimized KCo2Cl6 structure.

Cell: 9.6635 9.6635 6.3494 Å, 95.41 95.41 91.42°
Positions (direct):
K (0.1279, 0.8721, 0.7500)
K (0.8721, 0.1279, 0.2500)
Co (0.2149, 0.3664, 0.7357)
Co (0.3664, 0.2149, 0.2357)
Co (0.6335, 0.7851, 0.7643)
Co (0.7851, 0.6335, 0.2643)
Cl (0.0442, 0.2098, 0.7041)
Cl (0.1726, 0.5670, 0.8900)
Cl (0.2098, 0.0442, 0.2041)
Cl (0.2790, 0.4022, 0.4093)
Cl (0.4022, 0.2790, 0.9093)
Cl (0.4330, 0.8274, 0.6100)
Cl (0.5670, 0.1726, 0.3900)
Cl (0.5978, 0.7210, 0.0907)
Cl (0.7210, 0.5978, 0.5907)
Cl (0.7902, 0.9558, 0.7959)
Cl (0.8274, 0.4330, 0.1100)
Cl (0.9558, 0.7902, 0.2959)

Values from the calculation:
N(E_F)   9.05 states/eV/f.u.
SG   C2/c (15)
ρ   2.09 g cm⁻³
Uncorrected formation energy   -0.87 eV per atom



No. 2
Density functional theory data (PBE-GGA) for a geometry-optimized Ce3Ni2Ge4 structure.

Cell: 5.8354 5.8354 8.1881 Å, 100.84 100.84 42.37°
Positions (direct):
Ce (0.0000, 0.0000, 0.0000)
Ce (0.3394, 0.3394, 0.3381)
Ce (0.6606, 0.6606, 0.6619)
Ni (0.3999, 0.3999, 0.7224)
Ni (0.6001, 0.6001, 0.2776)
Ge (0.0652, 0.0652, 0.3864)
Ge (0.2793, 0.2793, 0.9289)
Ge (0.7207, 0.7207, 0.0711)
Ge (0.9348, 0.9348, 0.6136)

Values from the calculation:
N(E_F)   13.48 states/eV/f.u.
Calculated formation energy   -0.73 eV/atom
SG   C2/m (12)
ρ   7.47 g cm⁻³



No. 3
Density functional theory data (PBE-GGA) for a geometry-optimized Ti2BiIr2 structure.

Cell: 7.6898 7.6898 2.9979 Å, 90.00 90.00 90.00°
Positions (direct):
Ti (0.1528, 0.3472, 0.0000)
Ti (0.3472, 0.8472, 0.0000)
Ti (0.6528, 0.1528, 0.0000)
Ti (0.8472, 0.6528, 0.0000)
Bi (0.0000, 0.0000, 0.5000)
Bi (0.5000, 0.5000, 0.5000)
Ir (0.1331, 0.6331, 0.5000)
Ir (0.3669, 0.1331, 0.5000)
Ir (0.6331, 0.8669, 0.5000)
Ir (0.8669, 0.3669, 0.5000)

Values from the calculation:
N(E_F)   4.60 states/eV/f.u.
Calculated formation energy   -0.51 eV/atom
SG   P4/mbm (127)
ρ   12.91 g cm⁻³



No. 4
Density functional theory data (PBE-GGA) for a geometry-optimized NdYTmZn structure.

Cell: 5.3796 5.3796 5.3796 Å, 60.00 60.00 60.00°
Positions (direct):
Nd (0.0000, 0.0000, 0.0000)
Y (0.5000, 0.5000, 0.5000)
Tm (0.2500, 0.2500, 0.2500)
Zn (0.7500, 0.7500, 0.7500)

Values from the calculation:
N(E_F)   4.97 states/eV/f.u.
Calculated formation energy   0.03 eV/atom
SG   F-43m (216)
ρ   7.05 g cm⁻³



No. 5
Density functional theory data (PBE-GGA) for a geometry-optimized Rb3Ge4Pt4 structure.

Cell: 13.3518 13.3518 13.3518 Å, 162.43 157.34 28.81°
Positions (direct):
Rb (0.0000, 0.0000, 0.0000)
Rb (0.1413, 0.6413, 0.5000)
Rb (0.8587, 0.3587, 0.5000)
Ge (0.2451, 0.2451, 0.0000)
Ge (0.3969, 0.8969, 0.5000)
Ge (0.6031, 0.1031, 0.5000)
Ge (0.7549, 0.7549, 0.0000)
Pt (0.3001, 0.8001, 0.5000)
Pt (0.4481, 0.4481, 0.0000)
Pt (0.5519, 0.5519, 0.0000)
Pt (0.6999, 0.1999, 0.5000)

Values from the calculation:
N(E_F)   5.62 states/eV/f.u.
Calculated formation energy   -0.27 eV/atom
SG   Immm (71)
ρ   7.97 g cm⁻³



No. 6
Density functional theory data (PBE-GGA) for a geometry-optimized LiTmScOs structure.

Cell: 4.7247 4.7247 4.7247 Å, 60.00 60.00 60.00°
Positions (direct):
Li (0.0000, 0.0000, 0.0000)
Tm (0.2500, 0.2500, 0.2500)
Sc (0.7500, 0.7500, 0.7500)
Os (0.5000, 0.5000, 0.5000)

Values from the calculation:
N(E_F)   3.30 states/eV/f.u.
Calculated formation energy   -0.30 eV/atom
SG   F-43m (216)
ρ   9.15 g cm⁻³



No. 7
Density functional theory data (PBE-GGA) for a geometry-optimized CoNiSe4 structure.

Cell: 5.5616 5.5616 5.5616 Å, 60.00 60.00 60.00°
Positions (direct):
Co (0.0000, 0.0000, 0.0000)
Ni (0.2500, 0.2500, 0.2500)
Se (0.1253, 0.6249, 0.6249)
Se (0.6249, 0.1253, 0.6249)
Se (0.6249, 0.6249, 0.1253)
Se (0.6249, 0.6249, 0.6249)

Values from the calculation:
N(E_F)   10.08 states/eV/f.u.
SG   F-43m (216)
ρ   5.92 g cm⁻³
Uncorrected formation energy   1.13 eV per atom



No. 8
Density functional theory data (PBE-GGA) for a geometry-optimized CeLuMo structure.

Cell: 6.4637 6.4637 6.4637 Å, 148.83 148.83 44.67°
Positions (direct):
Ce (0.0000, 0.0000, 0.0000)
Lu (0.7238, 0.7238, 0.0000)
Mo (0.3736, 0.3736, 0.0000)

Values from the calculation:
N(E_F)   6.47 states/eV/f.u.
Calculated formation energy   0.22 eV/atom
SG   I4mm (107)
ρ   9.46 g cm⁻³



No. 9
Density functional theory data (PBE-GGA) for a geometry-optimized Tc2P structure.

Cell: 4.4142 4.4142 4.4142 Å, 142.08 126.95 67.05°
Positions (direct):
Tc (0.1723, 0.1723, 0.0000)
Tc (0.8277, 0.8277, 0.0000)
P (0.5000, 0.5000, 0.0000)

Values from the calculation:
N(E_F)   2.10 states/eV/f.u.
Calculated formation energy   -0.07 eV/atom
SG   Immm (71)
ρ   9.06 g cm⁻³



No. 10
Density functional theory data (PBE-GGA) for a geometry-optimized LiGaPtO4 structure.

Cell: 6.0758 6.0758 6.0758 Å, 121.63 118.83 89.61°
Positions (direct):
Li (0.3895, 0.1395, 0.2500)
Li (0.6105, 0.8605, 0.7500)
Ga (0.0000, 0.0000, 0.5000)
Ga (0.0000, 0.5000, 0.0000)
Pt (0.0000, 0.5000, 0.5000)
Pt (0.5000, 0.5000, 0.0000)
O (0.2079, 0.7373, 0.4706)
O (0.2333, 0.2627, 0.9706)
O (0.2373, 0.2606, 0.5234)
O (0.2373, 0.7139, 0.9766)
O (0.7627, 0.2861, 0.0234)
O (0.7627, 0.7394, 0.4766)
O (0.7667, 0.7373, 0.0294)
O (0.7921, 0.2627, 0.5294)

Values from the calculation:
N(E_F)   0.00 states/eV/f.u.
SG   Imma (74)
ρ   7.06 g cm⁻³
Uncorrected formation energy   -1.40 eV per atom



No. 11
Density functional theory data (PBE-GGA) for a geometry-optimized YSn2GeBr structure.

Cell: 6.0321 6.0321 5.3580 Å, 90.00 90.00 90.00°
Positions (direct):
Y (0.0000, 0.0000, 0.0000)
Sn (0.0000, 0.5000, 0.0000)
Sn (0.5000, 0.0000, 0.0000)
Ge (0.0000, 0.0000, 0.5000)
Br (0.5000, 0.5000, 0.5000)

Values from the calculation:
N(E_F)   7.57 states/eV/f.u.
SG   P4/mmm (123)
ρ   4.08 g cm⁻³
Uncorrected formation energy   0.47 eV per atom



No. 12
Density functional theory data (PBE-GGA) for a geometry-optimized SrScCo3 structure.

Cell: 4.6666 4.6666 4.6666 Å, 90.00 90.00 90.00°
Positions (direct):
Sr (0.0000, 0.0000, 0.0000)
Sc (0.5000, 0.5000, 0.5000)
Co (0.0000, 0.0000, 0.5000)
Co (0.0000, 0.5000, 0.0000)
Co (0.5000, 0.0000, 0.0000)

Values from the calculation:
N(E_F)   5.08 states/eV/f.u.
Calculated formation energy   1.69 eV/atom
SG   Pm-3m (221)
ρ   5.06 g cm⁻³



Question: The highest N(E_F) belongs to which entry?
Answer: Ce3Ni2Ge4